# HfMg2Br PBE optimized geometry
data_HfMg2Br
_space_group_name_H-M_alt 'F m -3 m'
_space_group_IT_number 225
_space_group_name_Hall '-F 4 2 3'
_cell_length_a 7.378
_cell_length_b 7.378
_cell_length_c 7.378
_cell_angle_alpha 90.00
_cell_angle_beta 90.00
_cell_angle_gamma 90.00
loop_
_atom_site_label
_atom_site_type_symbol
_atom_site_fract_x
_atom_site_fract_y
_atom_site_fract_z
_atom_site_occupancy
Hf1 Hf 0.000 0.000 0.000 1
Mg1 Mg 0.250 0.250 0.250 1
Br1 Br 0.000 0.000 0.500 1
# * total moment: 0.20 μB/atom
# * E_form (uncorrected): 0.55 eV/atom